# 1
Material: LaHg2Mo
Method: DFT, PBE
State: optimized geometry

Lattice parameters (Å, degrees): 4.4896 4.4896 9.3239 90.00 90.00 90.00
Space group I-4m2 (No. 119)
Inequivalent atoms, fractional coordinates:
La (0.0000, 0.0000, 0.0000) [2 per cell]
Hg (0.0000, 0.0000, 0.5000) [2 per cell]
Hg (0.0000, 0.5000, 0.2500) [2 per cell]
Mo (0.0000, 0.5000, 0.7500) [2 per cell]

Values from the calculation:
- ΔE to the lowest computed polymorph: 112 meV/atom
- Volume: 187.9 Å³/cell
- Total energy: -14.9 eV per formula unit

# 2
Material: La2CoSiHg
Method: DFT, PBE
State: optimized geometry

Lattice parameters (Å, degrees): 5.4104 5.4104 4.3608 90.00 90.00 90.00
Space group P4/mmm (No. 123)
Inequivalent atoms, fractional coordinates:
La (0.0000, 0.5000, 0.0000) [2 per cell]
Co (0.0000, 0.0000, 0.0000) [1 per cell]
Si (0.0000, 0.0000, 0.5000) [1 per cell]
Hg (0.5000, 0.5000, 0.5000) [1 per cell]

Values from the calculation:
- Volume: 127.7 Å³/cell
- Formation energy (no corrections): -10.275 kcal/mol of atoms
- Total energy: -24.9 eV per formula unit

# 3
Material: Pm8CdNi2
Method: DFT, PBE
State: optimized geometry

Lattice parameters (Å, degrees): 8.6350 13.7363 5.5625 90.00 104.23 90.00
Space group C2/m (No. 12)
Inequivalent atoms, fractional coordinates:
Pm (0.0000, 0.2479, 0.0000) [4 per cell]
Pm (0.1067, 0.5000, 0.8051) [4 per cell]
Pm (0.2069, 0.1271, 0.5727) [8 per cell]
Cd (0.0000, 0.0000, 0.0000) [2 per cell]
Ni (0.0000, 0.2991, 0.5000) [4 per cell]

Values from the calculation:
- Volume: 639.5 Å³/cell
- Total energy: -51.4 eV per formula unit

# 4
Material: Ta2AlCd
Method: DFT, PBE
State: optimized geometry

Lattice parameters (Å, degrees): 3.4407 4.6857 9.1835 90.00 90.00 90.00
Space group Cmm2 (No. 35)
Inequivalent atoms, fractional coordinates:
Ta (0.0000, 0.0000, 0.0000) [2 per cell]
Ta (0.0000, 0.5000, 0.2425) [2 per cell]
Al (0.0000, 0.0000, 0.4750) [2 per cell]
Cd (0.0000, 0.5000, 0.7326) [2 per cell]

Values from the calculation:
- ΔE to the lowest computed polymorph: 25 meV/atom
- Volume: 148.1 Å³/cell
- Total energy: -28.2 eV per formula unit

# 5
Material: BaZn2Hg
Method: DFT, PBE
State: optimized geometry

Lattice parameters (Å, degrees): 8.1286 4.6775 6.3545 90.00 114.29 90.00
Space group C2/m (No. 12)
Inequivalent atoms, fractional coordinates:
Ba (0.0000, 0.0000, 0.0000) [2 per cell]
Zn (0.2011, 0.0000, 0.6017) [4 per cell]
Hg (0.0000, 0.5000, 0.5000) [2 per cell]

Values from the calculation:
- Volume: 220.2 Å³/cell
- Total energy: -5.6 eV per formula unit

# 6
Material: ZrTaRh6
Method: DFT, PBE
State: optimized geometry

Lattice parameters (Å, degrees): 6.7099 11.1895 6.7492 90.00 94.66 90.00
Space group C2/m (No. 12)
Inequivalent atoms, fractional coordinates:
Zr (0.2500, 0.2500, 0.0000) [4 per cell]
Ta (0.2500, 0.2500, 0.5000) [4 per cell]
Rh (0.0344, 0.1181, 0.7075) [8 per cell]
Rh (0.0394, 0.3823, 0.2224) [8 per cell]
Rh (0.2048, 0.0000, 0.0410) [4 per cell]
Rh (0.2065, 0.5000, 0.5496) [4 per cell]

Values from the calculation:
- Volume: 505.1 Å³/cell
- Total energy: -67.7 eV per formula unit

# 7
Material: NaCa2TaAu
Method: DFT, PBE
State: optimized geometry

Lattice parameters (Å, degrees): 5.6083 5.6083 5.2555 90.00 90.00 90.00
Space group P4/mmm (No. 123)
Inequivalent atoms, fractional coordinates:
Na (0.0000, 0.0000, 0.0000) [1 per cell]
Ca (0.0000, 0.5000, 0.5000) [2 per cell]
Ta (0.5000, 0.5000, 0.0000) [1 per cell]
Au (0.0000, 0.0000, 0.5000) [1 per cell]

Values from the calculation:
- Volume: 165.3 Å³/cell
- Total energy: -16.6 eV per formula unit